Entry i
The following is a DFT calculation (PBE-GGA) of AlSn2Pb2 after structural relaxation.

```
AlSn2Pb2
1.0
-4.754 -5.426 1.159
4.068 -4.447 -4.132
2.796 -1.514 4.381
Pb Sn Al
4 4 2
Cartesian
3.303 -4.824 -0.431
1.440 -8.100 -0.374
-1.194 -6.562 1.839
0.668 -3.287 1.782
1.788 -5.754 -3.129
-1.465 -7.510 -1.660
-2.475 -4.119 0.156
0.778 -2.363 -1.313
0.000 0.000 0.000
-0.343 -4.936 -1.487
```

total magnetic moment = 0.00 μB per cell

Entry ii
The following is a DFT calculation (PBE-GGA) of AlSn2Pb2 after structural relaxation.

```
AlSn2Pb2
1.0
-3.830 -2.581 6.934
6.039 -5.602 1.251
2.202 2.886 2.291
Pb Sn Al
4 4 2
Cartesian
3.776 -5.604 3.430
0.743 -5.857 6.665
-1.568 -2.578 4.755
1.466 -2.325 1.520
4.426 -2.488 2.901
3.863 -5.033 6.648
-0.015 -2.810 7.575
0.548 -0.265 3.828
0.000 0.000 0.000
1.104 -4.091 4.092
```

total magnetic moment = 0.00 μB per cell

entry i ends up most stable, edging out the next structure by 13.1 kJ/mol of atoms.